Record 1
Density functional theory data (PBE) for a relaxed Pr8SnBi4Te3 crystal.

Properties
crystal system	trigonal
magnetization	0.00	Bohr magnetons per cell

abc: 9.186 9.186 9.186
angles: 60.06 60.06 60.06
Sites, in units of the cell vectors:
Pr1 0.246 0.753 0.753
Pr2 0.247 0.247 0.754
Pr3 0.247 0.754 0.247
Pr4 0.249 0.249 0.249
Pr5 0.751 0.751 0.751
Pr6 0.753 0.246 0.753
Pr7 0.753 0.753 0.246
Pr8 0.754 0.247 0.247
Sn1 0.000 0.000 0.000
Bi1 0.000 0.000 0.500
Bi2 0.000 0.500 0.000
Bi3 0.500 0.000 0.000
Bi4 0.500 0.500 0.500
Te1 0.000 0.500 0.500
Te2 0.500 0.000 0.500
Te3 0.500 0.500 0.000

Record 2
Density functional theory data (PBE) for a relaxed Pr8SnBi3Te4 crystal.

Properties
crystal system	trigonal
magnetization	0.00	Bohr magnetons per cell

abc: 9.163 9.163 9.163
angles: 60.17 60.17 60.17
Sites, in units of the cell vectors:
Pr1 0.249 0.249 0.249
Pr2 0.254 0.745 0.745
Pr3 0.255 0.255 0.746
Pr4 0.255 0.746 0.255
Pr5 0.745 0.254 0.745
Pr6 0.745 0.745 0.254
Pr7 0.746 0.255 0.255
Pr8 0.751 0.751 0.751
Sn1 0.500 0.500 0.500
Bi1 0.000 0.000 0.500
Bi2 0.000 0.500 0.000
Bi3 0.500 0.000 0.000
Te1 0.000 0.000 0.000
Te2 0.000 0.500 0.500
Te3 0.500 0.000 0.500
Te4 0.500 0.500 0.000

| no. | formation energy from raw total energies (meV per atom) |
| --- | --- |
| 1 | -1149 |
| 2 | -1207 |